Material: CdCoP2O6
Method: DFT, PBE+U
State: optimized geometry

Properties
space group = C2/c
Fermi-level density of states = 2.85 states/eV/cell
crystal system = monoclinic
raw total energy = -6.235 eV per atom

Lattice parameters (Å, degrees): 4.9336 7.7432 7.7432 77.42 75.37 75.37
With the nearest neighbours (Å) after each atom.
Element x y z (fractional)
O: 0.1052 0.6137 0.2066  1 P 1.51
O: 0.5205 0.6297 0.6824  2 P 1.61-1.62
O: 0.9795 0.3176 0.3703  2 P 1.61-1.62
O: 0.2987 0.3315 0.0480  1 P 1.49
O: 0.4795 0.3703 0.3176  2 P 1.61-1.62
O: 0.7987 0.0480 0.3315  1 P 1.49
O: 0.7013 0.6685 0.9520  1 P 1.49
O: 0.2013 0.9520 0.6685  1 P 1.49
O: 0.3948 0.7934 0.3863  1 P 1.51
O: 0.0205 0.6824 0.6297  2 P 1.61-1.62
O: 0.6052 0.2066 0.6137  1 P 1.51
O: 0.8948 0.3863 0.7934  1 P 1.51
P: 0.2859 0.7822 0.5889  4 O 1.49-1.62
P: 0.7141 0.2178 0.4111  4 O 1.49-1.62
P: 0.7859 0.5889 0.7822  4 O 1.49-1.62
P: 0.2141 0.4111 0.2178  4 O 1.49-1.62
Cd: 0.7500 0.0737 0.9263  4 O 2.62-2.71, 3 Co 2.69-2.77, 2 Cd 2.85
Cd: 0.2500 0.9263 0.0737  4 O 2.62-2.71, 3 Co 2.69-2.77, 2 Cd 2.85
Co: 0.2500 0.2036 0.7964  2 O 1.96
Co: 0.7500 0.7964 0.2036  2 O 1.96